{
  "formula": "Ac6Pm3Nd",
  "functional": "PBE",
  "state": "relaxed",
  "lattice_angstrom": [[8.496, 4.905, 3.259], [-8.496, 4.905, 3.259], [0.000, -9.811, 3.259]],
  "species": ["Ac", "Ac", "Ac", "Ac", "Ac", "Ac", "Ac", "Ac", "Ac", "Ac", "Ac", "Ac", "Pm", "Pm", "Pm", "Pm", "Pm", "Pm", "Nd", "Nd"],
  "frac_coords": [[0.081, 0.583, 0.378], [0.096, 0.156, 0.732], [0.156, 0.732, 0.096], [0.268, 0.904, 0.844], [0.378, 0.081, 0.583], [0.417, 0.622, 0.919], [0.583, 0.378, 0.081], [0.622, 0.919, 0.417], [0.732, 0.096, 0.156], [0.844, 0.268, 0.904], [0.904, 0.844, 0.268], [0.919, 0.417, 0.622], [0.163, 0.283, 0.453], [0.283, 0.453, 0.163], [0.453, 0.163, 0.283], [0.547, 0.837, 0.717], [0.717, 0.547, 0.837], [0.837, 0.717, 0.547], [0.000, 0.000, 0.000], [0.500, 0.500, 0.500]],
  "sg": "R-3 (148)",
  "e_form_ev_per_atom": 0.10,
  "crystal_system": "trigonal"
}


{
  "formula": "Ac2Pm7Nd2",
  "functional": "PBE",
  "state": "relaxed",
  "lattice_angstrom": [[5.776, -6.052, 0.000], [5.776, 6.052, 0.000], [-2.394, 0.000, 5.812]],
  "species": ["Ac", "Ac", "Pm", "Pm", "Pm", "Pm", "Pm", "Pm", "Pm", "Nd", "Nd"],
  "frac_coords": [[0.229, 0.229, 0.086], [0.771, 0.771, 0.914], [0.000, 0.000, 0.500], [0.066, 0.592, 0.337], [0.408, 0.934, 0.663], [0.413, 0.413, 0.696], [0.587, 0.587, 0.304], [0.592, 0.066, 0.337], [0.934, 0.408, 0.663], [0.229, 0.771, 0.000], [0.771, 0.229, 0.000]],
  "sg": "C2/m (12)",
  "e_form_ev_per_atom": 0.15,
  "crystal_system": "monoclinic"
}